The following is a DFT calculation (PBE) of a relaxed PaFe3Ge crystal.

a = 5.9694 Å, b = 5.9694 Å, c = 5.9694 Å
α = 130.00°, β = 105.82°, γ = 94.85°
Element x y z (fractional)
Pa  0.2535  0.0035  0.2500
Pa  0.7465  0.9965  0.7500
Fe  0.1897  0.0000  0.6897
Fe  0.1897  0.5000  0.1897
Fe  0.4694  0.7194  0.7500
Fe  0.5306  0.2806  0.2500
Fe  0.8103  0.0000  0.3103
Fe  0.8103  0.5000  0.8103
Ge  0.0000  0.5000  0.5000
Ge  0.5000  0.5000  0.0000

* uncorrected energy: -8.088 eV per atom
* formation energy: -0.19 eV per atom
* space-group type: No. 74